DFT (PBE-GGA) results for an optimized crystal structure of NaSrLa2Tl4.

## Properties
* formation energy: -0.3484 eV/atom

The structure in POSCAR format:
```
NaSrLa2Tl4
1.0
-1.8678 4.9073 1.9180
-4.2904 2.5392 -2.5286
-7.9602 -1.9460 5.3733
Na Sr La Tl
1 1 2 4
Cartesian
-7.0592 2.7502 2.3814
0.0000 0.0000 0.0000
-10.5101 4.1843 3.4978
-3.6082 1.3162 1.2649
-9.2067 1.1405 4.4087
-8.3920 5.7720 1.4982
-5.7264 -0.2716 3.2645
-4.9116 4.3600 0.3540
```

***

DFT (PBE-GGA) results for an optimized crystal structure of ScCdGa2.

## Properties
* formation energy: -0.2104 eV/atom

The structure in POSCAR format:
```
ScCdGa2
1.0
-3.1041 -0.7584 -0.7864
-0.0417 -2.2846 2.3681
-2.4188 4.9713 4.7533
Sc Ga Cd
1 2 1
Cartesian
-2.7823 0.9642 3.1675
-1.7972 3.6937 3.5317
-0.6216 1.2776 1.2216
-1.5729 -1.5215 0.7909
```

***

DFT (PBE-GGA) results for an optimized crystal structure of CsZnGaAs2.

## Properties
* formation energy: -0.3792 eV/atom

The structure in POSCAR format:
```
CsZnGaAs2
1.0
4.1922 0.0000 0.0000
-2.0961 6.8007 0.0400
0.0000 -1.6283 10.2799
Cs Zn Ga As
2 2 2 4
Cartesian
0.0000 4.1688 3.5138
2.0961 1.0035 6.8062
2.0961 2.2756 0.7315
0.0000 2.8967 9.5884
0.0000 0.3928 1.7451
2.0961 4.7795 8.5748
0.0000 4.0646 7.3149
2.0961 1.1077 3.0051
0.0000 0.2126 9.7005
2.0961 4.9597 0.6194
```

***

DFT (PBE-GGA) results for an optimized crystal structure of Sc5Ta.

## Properties
* formation energy: 0.1045 eV/atom
* relative energy among the computed polymorphs: 0.19 eV per formula unit

The structure in POSCAR format:
```
Sc5Ta
1.0
-3.0628 -3.2282 -0.7468
1.2800 -2.0871 3.7719
-5.2161 4.5740 1.6205
Sc Ta
5 1
Cartesian
-0.7887 0.0587 2.9807
-3.1474 2.4282 2.4117
-0.8914 -2.6576 1.5125
-2.9766 -0.4991 0.7339
-4.0224 -0.2421 3.9116
0.0000 0.0000 0.0000
```

***

DFT (PBE-GGA) results for an optimized crystal structure of CdAgAs.

## Properties
* formation energy: 0.1134 eV/atom

The structure in POSCAR format:
```
CdAgAs
1.0
5.2999 0.0736 -0.0074
2.6292 4.6024 0.0074
-3.5198 -3.0921 2.4788
As Ag Cd
1 1 1
Cartesian
2.6843 1.5830 0.0000
7.9167 4.6687 0.0000
5.2583 3.1010 0.0000
```

***

Please write out number 2 again, unchanged.
DFT (PBE-GGA) results for an optimized crystal structure of ScCdGa2.

## Properties
* formation energy: -0.2104 eV/atom

The structure in POSCAR format:
```
ScCdGa2
1.0
-3.1041 -0.7584 -0.7864
-0.0417 -2.2846 2.3681
-2.4188 4.9713 4.7533
Sc Ga Cd
1 2 1
Cartesian
-2.7823 0.9642 3.1675
-1.7972 3.6937 3.5317
-0.6216 1.2776 1.2216
-1.5729 -1.5215 0.7909
```